Entry 1:
Compound: Y2S3O12
Source: Alexandria via LeMat-Bulk
Functional: PBE
Structure: optimized geometry

- total energy (eV/atom) = -7.146

a b c (Å): 13.0214 9.3191 9.3991
angles (deg): 90.00 90.00 90.00
With the nearest neighbours (Å) after each atom.
Space group Pbcn (No. 60)
Symmetry-distinct sites (fractional):
Y (0.1167, 0.2501, 0.0355)  6 O 2.24-2.26
S (0.0000, 0.0342, 0.7500)  4 O 1.48
S (0.1455, 0.3913, 0.3903)  4 O 1.48
O (0.0434, 0.3341, 0.4298)  1 S 1.48
O (0.0606, 0.1264, 0.8466)  1 S 1.48
O (0.0716, 0.0567, 0.1669)  1 S 1.48
O (0.1467, 0.4507, 0.9082)  1 S 1.48
O (0.1683, 0.3566, 0.2396)  1 S 1.48
O (0.2242, 0.3263, 0.4842)  1 S 1.48

***

Entry 2:
Compound: Nd2AgPd
Source: Alexandria via LeMat-Bulk
Functional: PBE
Structure: optimized geometry

- formation energy (eV/atom) = -0.494
- total energy (eV/atom) = -4.889

a b c (Å): 3.6846 3.6846 7.4100
angles (deg): 90.00 90.00 90.00
With the nearest neighbours (Å) after each atom.
Space group P4/mmm (No. 123)
Symmetry-distinct sites (fractional):
Nd (0.0000, 0.0000, 0.2376)  4 Pd 3.14, 4 Ag 3.25, 1 Nd 3.52
Ag (0.5000, 0.5000, 0.5000)  8 Nd 3.25
Pd (0.5000, 0.5000, 0.0000)  8 Nd 3.14

***

Entry 3:
Compound: FeCo2S2
Source: Alexandria via LeMat-Bulk
Functional: PBE
Structure: optimized geometry

- E above lowest polymorph (eV per atom) = 0.000
- total energy (eV/atom) = -6.126

a b c (Å): 6.2762 6.2762 2.9779
angles (deg): 90.00 90.00 90.00
With the nearest neighbours (Å) after each atom.
Space group P4/mbm (No. 127)
Symmetry-distinct sites (fractional):
Fe (0.0000, 0.0000, 0.0000)  4 S 2.34
Co (0.1475, 0.3525, 0.5000)  6 S 2.23-2.47
S (0.1655, 0.6655, 0.0000)  6 Co 2.23-2.47, 2 Fe 2.34

***

Which formula does entry 2 have?
Nd2AgPd

***

total energy of number 3 (FeCo2S2)?
-6.126 eV/atom